First-principles (PBE) data for a geometry-optimized CePrPuCd structure, as listed in Alexandria.

Properties
crystal system = cubic
M_tot = 2.0483 μB/atom
DFT total energy = -6.414 eV per atom

Cell lengths 5.381, 5.381, 5.381 Å; angles 60.00, 60.00, 60.00 degrees
Element x y z (fractional)
Ce1 0.000 0.000 0.000
Pr1 0.250 0.250 0.250
Pu1 0.750 0.750 0.750
Cd1 0.500 0.500 0.500